Density functional theory data (PBE with a Hubbard U) for a relaxed structure of AlTeW2O.

## Properties
Volume, Å³/atom: 20.4
Raw total energy, eV/atom: -4.59
Symmetry: P4/mmm, No. 123

Unit cell a=5.346 b=5.346 c=3.576 alpha=90.00 beta=90.00 gamma=90.00
Element x y z (fractional)
Al 0.000 0.000 0.000
Te 0.500 0.500 0.500
W 0.000 0.500 0.000
W 0.500 0.000 0.000
O 0.000 0.000 0.500